Crystalline NaFeF3 at its relaxed geometry. Source: Alexandria via LeMat-Bulk, functional PBE+U.

The electronic total energy is -5.1009 eV/atom. Its calculated volume is 254.7 Å³ per cell. The total moment comes out at 4.00 μB/f.u.

It has space group Pnma (No. 62), with a = 5.739 Å, b = 8.028 Å, c = 5.527 Å, α = 90.00°, β = 90.00° and γ = 90.00°. The asymmetric unit holds Na at (0.060, 0.250, 0.015), Fe at (0.000, 0.000, 0.500), F at (0.046, 0.750, 0.385) and F at (0.190, 0.558, 0.800).